Record 1
Density functional theory data (PBE) for crystalline Na2TlHPb at its relaxed geometry.

Cell: 4.9379 4.9379 4.7301 Å, 90.00 90.00 90.00°
Closest atoms and distances in Å follow each position.
Space group P4/mmm (No. 123)
Symmetry-distinct sites (fractional):
Na (0.0000, 0.5000, 0.0000) x2  2 H 2.47
Tl (0.0000, 0.0000, 0.5000) x1  8 Na 3.42, 4 Pb 3.49
H (0.5000, 0.5000, 0.0000) x1  2 Pb 2.37, 4 Na 2.47
Pb (0.5000, 0.5000, 0.5000) x1  2 H 2.37

E above lowest polymorph in meV/atom: 18.4
M_tot in μB per formula unit: 0.00



Record 2
Density functional theory data (PBE) for crystalline NaTl2HPb at its relaxed geometry.

Cell: 5.3781 5.3781 4.2490 Å, 90.00 90.00 90.00°
Closest atoms and distances in Å follow each position.
Space group P4/mmm (No. 123)
Symmetry-distinct sites (fractional):
Na (0.0000, 0.0000, 0.0000) x1  2 H 2.12
Tl (0.0000, 0.5000, 0.5000) x2  2 H 2.69
H (0.0000, 0.0000, 0.5000) x1  2 Na 2.12
Pb (0.5000, 0.5000, 0.0000) x1  8 Tl 3.43, 4 Na 3.80

E above lowest polymorph in meV/atom: 0.0
M_tot in μB per formula unit: 0.00



Record 3
Density functional theory data (PBE) for crystalline NaTl2HPb at its relaxed geometry.

Cell: 5.3472 5.3472 4.4589 Å, 90.00 90.00 90.00°
Closest atoms and distances in Å follow each position.
Space group P4/mmm (No. 123)
Symmetry-distinct sites (fractional):
Na (0.0000, 0.0000, 0.0000) x1  8 Tl 3.48, 4 Pb 3.78
Tl (0.0000, 0.5000, 0.5000) x2  2 H 2.67
H (0.5000, 0.5000, 0.5000) x1  2 Pb 2.23
Pb (0.5000, 0.5000, 0.0000) x1  2 H 2.23

E above lowest polymorph in meV/atom: 103.4
M_tot in μB per formula unit: 0.00



Record 4
Density functional theory data (PBE) for crystalline Na2TlHPb at its relaxed geometry.

Cell: 4.6294 4.6294 5.4305 Å, 90.00 90.00 90.00°
Closest atoms and distances in Å follow each position.
Space group P4/mmm (No. 123)
Symmetry-distinct sites (fractional):
Na (0.0000, 0.5000, 0.0000) x2  2 H 2.31
Tl (0.0000, 0.0000, 0.5000) x1  2 H 2.72
H (0.0000, 0.0000, 0.0000) x1  4 Na 2.31
Pb (0.5000, 0.5000, 0.5000) x1  4 Tl 3.27, 8 Na 3.57

E above lowest polymorph in meV/atom: 0.0
M_tot in μB per formula unit: 0.00